The following is a DFT calculation (PBE) of a geometry-optimized ZnCuHgPb structure.

Structure (CIF):
```
data_ZnCuHgPb
_symmetry_space_group_name_H-M 'F -4 3 m'
_symmetry_Int_Tables_number 216
_symmetry_space_group_name_Hall 'F -4 2 3'
_cell_length_a 6.909
_cell_length_b 6.909
_cell_length_c 6.909
_cell_angle_alpha 90.00
_cell_angle_beta 90.00
_cell_angle_gamma 90.00
loop_
_atom_site_label
_atom_site_type_symbol
_atom_site_fract_x
_atom_site_fract_y
_atom_site_fract_z
_atom_site_occupancy
Zn1 Zn 0.000 0.000 0.000 1
Cu1 Cu 0.000 0.000 0.500 1
Hg1 Hg 0.250 0.250 0.750 1
Pb1 Pb 0.250 0.250 0.250 1
```

Properties
**Excess energy over the best structure of this formula in the dataset**: 0 meV/atom

=====

The following is a DFT calculation (PBE) of a geometry-optimized ZrCuHgPb structure.

Structure (CIF):
```
data_ZrCuHgPb
_symmetry_space_group_name_H-M 'F -4 3 m'
_symmetry_Int_Tables_number 216
_symmetry_space_group_name_Hall 'F -4 2 3'
_cell_length_a 7.043
_cell_length_b 7.043
_cell_length_c 7.043
_cell_angle_alpha 90.00
_cell_angle_beta 90.00
_cell_angle_gamma 90.00
loop_
_atom_site_label
_atom_site_type_symbol
_atom_site_fract_x
_atom_site_fract_y
_atom_site_fract_z
_atom_site_occupancy
Zr1 Zr 0.000 0.000 0.000 1
Cu1 Cu 0.250 0.250 0.750 1
Hg1 Hg 0.250 0.250 0.250 1
Pb1 Pb 0.000 0.000 0.500 1
```

Properties
**Excess energy over the best structure of this formula in the dataset**: 37 meV/atom

=====

The following is a DFT calculation (PBE) of a geometry-optimized ZrCuHgPb structure.

Structure (CIF):
```
data_ZrCuHgPb
_symmetry_space_group_name_H-M 'F -4 3 m'
_symmetry_Int_Tables_number 216
_symmetry_space_group_name_Hall 'F -4 2 3'
_cell_length_a 6.951
_cell_length_b 6.951
_cell_length_c 6.951
_cell_angle_alpha 90.00
_cell_angle_beta 90.00
_cell_angle_gamma 90.00
loop_
_atom_site_label
_atom_site_type_symbol
_atom_site_fract_x
_atom_site_fract_y
_atom_site_fract_z
_atom_site_occupancy
Zr1 Zr 0.000 0.000 0.000 1
Cu1 Cu 0.000 0.000 0.500 1
Hg1 Hg 0.250 0.250 0.750 1
Pb1 Pb 0.250 0.250 0.250 1
```

Properties
**Excess energy over the best structure of this formula in the dataset**: 0 meV/atom

=====

The following is a DFT calculation (PBE) of a geometry-optimized Cu2HgPd structure.

Structure (CIF):
```
data_Cu2HgPd
_symmetry_space_group_name_H-M 'F -4 3 m'
_symmetry_Int_Tables_number 216
_symmetry_space_group_name_Hall 'F -4 2 3'
_cell_length_a 6.250
_cell_length_b 6.250
_cell_length_c 6.250
_cell_angle_alpha 90.00
_cell_angle_beta 90.00
_cell_angle_gamma 90.00
loop_
_atom_site_label
_atom_site_type_symbol
_atom_site_fract_x
_atom_site_fract_y
_atom_site_fract_z
_atom_site_occupancy
Cu1 Cu 0.000 0.000 0.000 1
Cu2 Cu 0.250 0.250 0.250 1
Hg1 Hg 0.250 0.250 0.750 1
Pd1 Pd 0.000 0.000 0.500 1
```

Properties
**Energy of formation**: 0.03 eV/atom

=====

The following is a DFT calculation (PBE) of a geometry-optimized Cu2HgPd structure.

Structure (CIF):
```
data_Cu2HgPd
_symmetry_space_group_name_H-M 'P m m n'
_symmetry_Int_Tables_number 59
_cell_length_a 4.522
_cell_length_b 5.634
_cell_length_c 4.735
_cell_angle_alpha 90.00
_cell_angle_beta 90.00
_cell_angle_gamma 90.00
loop_
_symmetry_equiv_pos_as_xyz
'x,y,z'
'-x,-y,-z'
'-x+1/2,-y+1/2,z'
'x+1/2,y+1/2,-z'
'x+1/2,-y,-z'
'-x+1/2,y,z'
'-x,y+1/2,-z'
'x,-y+1/2,z'
loop_
_atom_site_label
_atom_site_type_symbol
_atom_site_fract_x
_atom_site_fract_y
_atom_site_fract_z
_atom_site_occupancy
Cu1 Cu 0.250 0.001 0.171 1
Hg1 Hg 0.250 0.250 0.677 1
Pd1 Pd 0.250 0.750 0.693 1
```

Properties
**Energy of formation**: -0.03 eV/atom

=====

The following is a DFT calculation (PBE) of a geometry-optimized CuHg2Pd structure.

Structure (CIF):
```
data_CuHg2Pd
_symmetry_space_group_name_H-M 'F -4 3 m'
_symmetry_Int_Tables_number 216
_symmetry_space_group_name_Hall 'F -4 2 3'
_cell_length_a 6.567
_cell_length_b 6.567
_cell_length_c 6.567
_cell_angle_alpha 90.00
_cell_angle_beta 90.00
_cell_angle_gamma 90.00
loop_
_atom_site_label
_atom_site_type_symbol
_atom_site_fract_x
_atom_site_fract_y
_atom_site_fract_z
_atom_site_occupancy
Cu1 Cu 0.000 0.000 0.000 1
Hg1 Hg 0.000 0.000 0.500 1
Hg2 Hg 0.250 0.250 0.250 1
Pd1 Pd 0.250 0.250 0.750 1
```

Properties
**Energy of formation**: 0.10 eV/atom